(1)
Computed, not measured: KCaN after structural relaxation at the PBE level of DFT.

```
KCaN
1.0
7.822 -2.005 0.000
7.822 2.005 0.000
-3.449 0.000 6.557
K Ca N
2 2 2
Cartesian
0.260 0.000 2.980 K
11.936 0.000 3.577 K
5.660 0.000 0.440 Ca
6.536 0.000 6.117 Ca
6.003 0.000 2.665 N
6.193 0.000 3.892 N
```

Properties
* V: 34.3 Å³/atom
* symmetry: C2/m, No. 12
* VASP energy: -0.28627 Ry/atom

(2)
Computed, not measured: RbYSb after structural relaxation at the PBE level of DFT.

```
RbYSb
1.0
2.508 1.448 13.522
-2.508 1.448 13.522
0.000 -2.896 13.522
Rb Y Sb
2 2 2
Cartesian
0.000 0.000 4.555 Rb
0.000 0.000 36.009 Rb
0.000 0.000 12.378 Y
0.000 0.000 28.186 Y
0.000 0.000 15.587 Sb
0.000 0.000 24.978 Sb
```

Properties
* V: 49.1 Å³/atom
* symmetry: R-3m, No. 166
* VASP energy: -0.32587 Ry/atom

(3)
Computed, not measured: BaSrGeCl after structural relaxation at the PBE level of DFT.

```
BaSrGeCl
1.0
0.000 3.982 3.982
3.982 0.000 3.982
3.982 3.982 0.000
Ba Sr Ge Cl
1 1 1 1
Cartesian
0.000 0.000 0.000 Ba
3.982 3.982 3.982 Sr
5.973 5.973 5.973 Ge
1.991 1.991 1.991 Cl
```

Properties
* V: 31.6 Å³/atom
* symmetry: F-43m, No. 216
* VASP energy: -0.25804 Ry/atom

(4)
Computed, not measured: ThScCo2P2 after structural relaxation at the PBE level of DFT.

```
ThScCo2P2
1.0
3.881 0.000 0.000
-1.940 3.361 0.000
0.000 0.000 7.503
Th Sc Co P
1 1 2 2
Cartesian
0.000 0.000 0.000 Th
0.000 0.000 3.752 Sc
0.000 2.241 5.569 Co
1.940 1.120 1.934 Co
0.000 2.241 2.093 P
1.940 1.120 5.411 P
```

Properties
* V: 16.3 Å³/atom
* symmetry: P-3m1, No. 164
* VASP energy: -0.55434 Ry/atom
* ΔH_f (0 K): -1.08 eV per atom

(5)
Computed, not measured: TaVSeN2 after structural relaxation at the PBE level of DFT.

```
TaVSeN2
1.0
3.777 0.000 0.000
0.000 3.777 0.000
0.000 0.000 4.856
Ta V Se N
1 1 1 2
Cartesian
0.000 0.000 0.000 Ta
1.889 1.889 2.428 V
1.889 1.889 0.000 Se
0.000 1.889 2.428 N
1.889 0.000 2.428 N
```

Properties
* V: 13.9 Å³/atom
* symmetry: P4/mmm, No. 123
* VASP energy: -0.56368 Ry/atom

(6)
Computed, not measured: Li3MnI after structural relaxation at the PBE level of DFT.

```
Li3MnI
1.0
5.198 0.000 0.000
0.000 5.198 0.000
0.000 0.000 5.198
Li Mn I
3 1 1
Cartesian
0.000 0.000 2.599 Li
0.000 2.599 0.000 Li
2.599 0.000 0.000 Li
2.599 2.599 2.599 Mn
0.000 0.000 0.000 I
```

Properties
* V: 28.1 Å³/atom
* symmetry: Pm-3m, No. 221
* VASP energy: -0.22198 Ry/atom